Record 1
# BiRu2O7 | Alexandria via LeMat-Bulk | PBEsol | relaxed
data_BiRu2O7
_symmetry_space_group_name_H-M 'I 21 21 21'
_symmetry_Int_Tables_number 24
_symmetry_space_group_name_Hall 'I 2b 2c'
_cell_length_a 7.1127
_cell_length_b 7.1386
_cell_length_c 9.9719
_cell_angle_alpha 90.00
_cell_angle_beta 90.00
_cell_angle_gamma 90.00
loop_
_atom_site_label
_atom_site_type_symbol
_atom_site_fract_x
_atom_site_fract_y
_atom_site_fract_z
Bi1 Bi 0.2500 0.2496 0.0000
Ru1 Ru 0.9999 0.0000 0.2500
Ru2 Ru 0.2500 0.2500 0.5000
O1 O 0.0000 0.2500 0.1747
O2 O 0.0000 0.2500 0.5486
O3 O 0.0000 0.2500 0.8819
O4 O 0.1898 0.0426 0.3801
O5 O 0.1896 0.4573 0.3802
# **Total magnetization**: 0.03 μB/cell
# **Uncorrected formation energy**: -0.93 eV per atom
# **D(E_F)**: 36.34 states/eV/cell

Record 2
# BiRuO2 | Alexandria via LeMat-Bulk | PBEsol | relaxed
data_BiRuO2
_symmetry_space_group_name_H-M 'R -3 m'
_symmetry_Int_Tables_number 166
_symmetry_space_group_name_Hall '-R 3 2"'
_cell_length_a 3.0683
_cell_length_b 3.0683
_cell_length_c 22.0986
_cell_angle_alpha 90.00
_cell_angle_beta 90.00
_cell_angle_gamma 120.00
loop_
_atom_site_label
_atom_site_type_symbol
_atom_site_fract_x
_atom_site_fract_y
_atom_site_fract_z
Bi1 Bi 0.0000 0.0000 0.0000
Ru1 Ru 0.0000 0.0000 0.5000
O1 O 0.0000 0.0000 0.4184
# **Total magnetization**: 0.01 μB/cell
# **Uncorrected formation energy**: -0.25 eV per atom
# **D(E_F)**: 9.33 states/eV/cell

Record 3
# Y3BiRu4O14 | Alexandria via LeMat-Bulk | PBEsol | relaxed
data_Y3BiRu4O14
_symmetry_space_group_name_H-M 'R -3 m'
_symmetry_Int_Tables_number 166
_symmetry_space_group_name_Hall '-R 3 2"'
_cell_length_a 7.1681
_cell_length_b 7.1681
_cell_length_c 17.4796
_cell_angle_alpha 90.00
_cell_angle_beta 90.00
_cell_angle_gamma 120.00
loop_
_atom_site_label
_atom_site_type_symbol
_atom_site_fract_x
_atom_site_fract_y
_atom_site_fract_z
Y1 Y 0.0000 0.5000 0.0000
Bi1 Bi 0.0000 0.0000 0.5000
Ru1 Ru 0.0000 0.0000 0.0000
Ru2 Ru 0.0000 0.5000 0.5000
O1 O 0.0000 0.0000 0.3704
O2 O 0.0545 0.5273 0.6114
O3 O 0.0575 0.5287 0.8608
# **Total magnetization**: 5.21 μB/cell
# **Uncorrected formation energy**: -1.96 eV per atom
# **D(E_F)**: 35.81 states/eV/cell

Record 4
# Zn2Bi6Ru8O27 | Alexandria via LeMat-Bulk | PBEsol | relaxed
data_Zn2Bi6Ru8O27
_symmetry_space_group_name_H-M 'C 1 2 1'
_symmetry_Int_Tables_number 5
_symmetry_space_group_name_Hall 'C 2y'
_cell_length_a 10.1549
_cell_length_b 10.0895
_cell_length_c 10.1368
_cell_angle_alpha 90.00
_cell_angle_beta 90.65
_cell_angle_gamma 90.00
loop_
_atom_site_label
_atom_site_type_symbol
_atom_site_fract_x
_atom_site_fract_y
_atom_site_fract_z
Zn1 Zn 0.0824 0.0000 0.1419
Bi1 Bi 0.1259 0.2282 0.3703
Bi2 Bi 0.1283 0.7374 0.8879
Bi3 Bi 0.1325 0.4783 0.6372
Ru1 Ru 0.1231 0.4805 0.1262
Ru2 Ru 0.1240 0.7311 0.3728
Ru3 Ru 0.1264 0.9795 0.6238
Ru4 Ru 0.1270 0.2283 0.8750
O1 O 0.0000 0.0568 0.5000
O2 O 0.0000 0.1244 0.0000
O3 O 0.0000 0.3566 0.5000
O4 O 0.0000 0.5586 0.0000
O5 O 0.0000 0.6658 0.5000
O6 O 0.0006 0.3534 0.2088
O7 O 0.0029 0.8617 0.2831
O8 O 0.0364 0.6054 0.2489
O9 O 0.0487 0.1099 0.7439
O10 O 0.1871 0.3441 0.0129
O11 O 0.2004 0.8550 0.4984
O12 O 0.2371 0.6139 0.0644
O13 O 0.2383 0.0983 0.2134
O14 O 0.2441 0.3078 0.7468
O15 O 0.2467 0.6027 0.4483
O16 O 0.2501 0.3951 0.2513
# **Total magnetization**: 2.03 μB/cell
# **Uncorrected formation energy**: -1.14 eV per atom
# **D(E_F)**: 37.79 states/eV/cell

Record 5
# Bi14SO24 | Alexandria via LeMat-Bulk | PBEsol | relaxed
data_Bi14SO24
_symmetry_space_group_name_H-M 'C 1 m 1'
_symmetry_Int_Tables_number 8
_symmetry_space_group_name_Hall 'C -2y'
_cell_length_a 12.2271
_cell_length_b 17.0513
_cell_length_c 8.6364
_cell_angle_alpha 90.00
_cell_angle_beta 134.93
_cell_angle_gamma 90.00
loop_
_atom_site_label
_atom_site_type_symbol
_atom_site_fract_x
_atom_site_fract_y
_atom_site_fract_z
Bi1 Bi 0.0000 0.0000 0.0000
Bi2 Bi 0.0478 0.1614 0.3414
Bi3 Bi 0.1003 0.0000 0.6847
Bi4 Bi 0.1577 0.3342 0.7403
Bi5 Bi 0.2524 0.1669 0.1510
Bi6 Bi 0.2575 0.5000 0.0977
Bi7 Bi 0.3402 0.3306 0.5158
Bi8 Bi 0.3417 0.0000 0.5793
Bi9 Bi 0.4343 0.1686 0.9318
S1 S 0.0093 0.5000 0.3313
O1 O 0.0298 0.5000 0.5243
O2 O 0.0445 0.1192 0.8358
O3 O 0.0447 0.3813 0.8346
O4 O 0.0820 0.4282 0.3388
O5 O 0.1277 0.2456 0.1717
O6 O 0.1767 0.0791 0.2847
O7 O 0.2286 0.0801 0.6511
O8 O 0.2899 0.2454 0.6584
O9 O 0.3006 0.2549 0.0101
O10 O 0.3401 0.0000 0.1258
O11 O 0.3657 0.4215 0.0278
O12 O 0.4170 0.4206 0.3891
O13 O 0.4703 0.2536 0.5012
# **Total magnetization**: 0.00 μB/cell
# **Uncorrected formation energy**: -1.29 eV per atom
# **D(E_F)**: 0.00 states/eV/cell

Record 6
# Bi2S3O12 | Alexandria via LeMat-Bulk | PBEsol | relaxed
data_Bi2S3O12
_symmetry_space_group_name_H-M 'P 1 21/c 1'
_symmetry_Int_Tables_number 14
_symmetry_space_group_name_Hall '-P 2ybc'
_cell_length_a 8.8084
_cell_length_b 9.4284
_cell_length_c 14.4798
_cell_angle_alpha 90.00
_cell_angle_beta 121.81
_cell_angle_gamma 90.00
loop_
_atom_site_label
_atom_site_type_symbol
_atom_site_fract_x
_atom_site_fract_y
_atom_site_fract_z
Bi1 Bi 0.1472 0.0295 0.3822
Bi2 Bi 0.3438 0.0378 0.1178
S1 S 0.0259 0.6329 0.6314
S2 S 0.2549 0.1085 0.6604
S3 S 0.4505 0.7428 0.4924
O1 O 0.0411 0.7302 0.1859
O2 O 0.1038 0.6400 0.5625
O3 O 0.1267 0.0750 0.6948
O4 O 0.1306 0.5219 0.7166
O5 O 0.1600 0.1018 0.5399
O6 O 0.1658 0.0917 0.9340
O7 O 0.2669 0.7000 0.9436
O8 O 0.3225 0.2465 0.1988
O9 O 0.4036 0.0047 0.7077
O10 O 0.4196 0.1440 0.4432
O11 O 0.4748 0.6939 0.4032
O12 O 0.4780 0.6225 0.5654
# **Total magnetization**: 0.00 μB/cell
# **Uncorrected formation energy**: -1.40 eV per atom
# **D(E_F)**: 0.00 states/eV/cell

Record 7
# Bi2S2O | Alexandria via LeMat-Bulk | PBEsol | relaxed
data_Bi2S2O
_symmetry_space_group_name_H-M 'P 4/n m m'
_symmetry_Int_Tables_number 129
_cell_length_a 3.9330
_cell_length_b 3.9330
_cell_length_c 13.8542
_cell_angle_alpha 90.00
_cell_angle_beta 90.00
_cell_angle_gamma 90.00
loop_
_symmetry_equiv_pos_as_xyz
'x,y,z'
'-x,-y,-z'
'-y+1/2,x,z'
'y+1/2,-x,-z'
'-x+1/2,-y+1/2,z'
'x+1/2,y+1/2,-z'
'y,-x+1/2,z'
'-y,x+1/2,-z'
'x+1/2,-y,-z'
'-x+1/2,y,z'
'-y,-x,-z'
'y,x,z'
'-x,y+1/2,-z'
'x,-y+1/2,z'
'y+1/2,x+1/2,-z'
'-y+1/2,-x+1/2,z'
loop_
_atom_site_label
_atom_site_type_symbol
_atom_site_fract_x
_atom_site_fract_y
_atom_site_fract_z
Bi1 Bi 0.2500 0.2500 0.0911
Bi2 Bi 0.2500 0.2500 0.6316
S1 S 0.2500 0.2500 0.3956
S2 S 0.2500 0.2500 0.8135
O1 O 0.2500 0.7500 0.0000
# **Total magnetization**: 0.00 μB/cell
# **Uncorrected formation energy**: -0.71 eV per atom

Record 8
# Bi2S3O12 | Alexandria via LeMat-Bulk | PBEsol | relaxed
data_Bi2S3O12
_symmetry_space_group_name_H-M 'R -3'
_symmetry_Int_Tables_number 148
_symmetry_space_group_name_Hall '-R 3'
_cell_length_a 9.0465
_cell_length_b 9.0465
_cell_length_c 24.2164
_cell_angle_alpha 90.00
_cell_angle_beta 90.00
_cell_angle_gamma 120.00
loop_
_atom_site_label
_atom_site_type_symbol
_atom_site_fract_x
_atom_site_fract_y
_atom_site_fract_z
Bi1 Bi 0.0000 0.0000 0.1430
Bi2 Bi 0.0000 0.0000 0.3489
S1 S 0.0065 0.2881 0.7494
O1 O 0.0079 0.7853 0.1947
O2 O 0.0313 0.2209 0.0856
O3 O 0.0715 0.4993 0.0624
O4 O 0.0922 0.2251 0.7112
# **Total magnetization**: 0.00 μB/cell
# **Uncorrected formation energy**: -1.40 eV per atom
# **D(E_F)**: 0.00 states/eV/cell

Record 9
# Bi12SbO20 | Alexandria via LeMat-Bulk | PBEsol | relaxed
data_Bi12SbO20
_symmetry_space_group_name_H-M 'I 2 3'
_symmetry_Int_Tables_number 197
_symmetry_space_group_name_Hall 'I 2 2 3'
_cell_length_a 10.1997
_cell_length_b 10.1997
_cell_length_c 10.1997
_cell_angle_alpha 90.00
_cell_angle_beta 90.00
_cell_angle_gamma 90.00
loop_
_atom_site_label
_atom_site_type_symbol
_atom_site_fract_x
_atom_site_fract_y
_atom_site_fract_z
Bi1 Bi 0.0155 0.1756 0.3221
Sb1 Sb 0.0000 0.0000 0.0000
O1 O 0.0064 0.3686 0.7496
O2 O 0.1133 0.1133 0.8867
O3 O 0.1926 0.1926 0.1926
# **Total magnetization**: 2.00 μB/cell
# **Uncorrected formation energy**: -1.22 eV per atom
# **D(E_F)**: 5.44 states/eV/cell

Record 10
# BiSbTeO2 | Alexandria via LeMat-Bulk | PBEsol | relaxed
data_BiSbTeO2
_symmetry_space_group_name_H-M 'P 4/m m m'
_symmetry_Int_Tables_number 123
_symmetry_space_group_name_Hall '-P 4 2'
_cell_length_a 4.1071
_cell_length_b 4.1071
_cell_length_c 6.4380
_cell_angle_alpha 90.00
_cell_angle_beta 90.00
_cell_angle_gamma 90.00
loop_
_atom_site_label
_atom_site_type_symbol
_atom_site_fract_x
_atom_site_fract_y
_atom_site_fract_z
Bi1 Bi 0.0000 0.0000 0.0000
Sb1 Sb 0.0000 0.0000 0.5000
Te1 Te 0.5000 0.5000 0.0000
O1 O 0.0000 0.5000 0.5000
# **Total magnetization**: 0.00 μB/cell
# **Uncorrected formation energy**: -0.37 eV per atom
# **D(E_F)**: 1.78 states/eV/cell

Record 11
# BiSbWO6 | Alexandria via LeMat-Bulk | PBEsol | relaxed
data_BiSbWO6
_symmetry_space_group_name_H-M 'C 1 2 1'
_symmetry_Int_Tables_number 5
_symmetry_space_group_name_Hall 'C 2y'
_cell_length_a 16.6069
_cell_length_b 5.4408
_cell_length_c 5.4049
_cell_angle_alpha 90.00
_cell_angle_beta 90.66
_cell_angle_gamma 90.00
loop_
_atom_site_label
_atom_site_type_symbol
_atom_site_fract_x
_atom_site_fract_y
_atom_site_fract_z
Bi1 Bi 0.1704 0.0000 0.0243
Sb1 Sb 0.1759 0.4940 0.4629
W1 W 0.0000 0.0541 0.5000
W2 W 0.0000 0.5514 0.0000
O1 O 0.0217 0.3352 0.7545
O2 O 0.0218 0.8389 0.7502
O3 O 0.1080 0.1209 0.4163
O4 O 0.1084 0.6110 0.0923
O5 O 0.2439 0.2962 0.2226
O6 O 0.2483 0.7866 0.2862
# **Total magnetization**: 0.00 μB/cell
# **Uncorrected formation energy**: -1.72 eV per atom

Record 12
# ScBiO3 | Alexandria via LeMat-Bulk | PBEsol | relaxed
data_ScBiO3
_symmetry_space_group_name_H-M 'R 3 c'
_symmetry_Int_Tables_number 161
_symmetry_space_group_name_Hall 'R 3 -2"c'
_cell_length_a 5.7121
_cell_length_b 5.7121
_cell_length_c 14.2991
_cell_angle_alpha 90.00
_cell_angle_beta 90.00
_cell_angle_gamma 120.00
loop_
_atom_site_label
_atom_site_type_symbol
_atom_site_fract_x
_atom_site_fract_y
_atom_site_fract_z
Sc1 Sc 0.0000 0.0000 0.0000
Bi1 Bi 0.0000 0.0000 0.2190
O1 O 0.0241 0.4237 0.2690
# **Total magnetization**: 0.00 μB/cell
# **Uncorrected formation energy**: -2.41 eV per atom
# **D(E_F)**: 0.00 states/eV/cell

Record 13
# ScBiO3 | Alexandria via LeMat-Bulk | PBEsol | relaxed
data_ScBiO3
_symmetry_space_group_name_H-M 'R -3'
_symmetry_Int_Tables_number 148
_symmetry_space_group_name_Hall '-R 3'
_cell_length_a 5.6762
_cell_length_b 5.6762
_cell_length_c 14.6981
_cell_angle_alpha 90.00
_cell_angle_beta 90.00
_cell_angle_gamma 120.00
loop_
_atom_site_label
_atom_site_type_symbol
_atom_site_fract_x
_atom_site_fract_y
_atom_site_fract_z
Sc1 Sc 0.0000 0.0000 0.1472
Bi1 Bi 0.0000 0.0000 0.3632
O1 O 0.0282 0.6195 0.4192
# **Total magnetization**: 0.00 μB/cell
# **Uncorrected formation energy**: -2.35 eV per atom
# **D(E_F)**: 0.00 states/eV/cell